Computed, not measured: an optimized crystal structure of MoPb2Cl at the PBE level of DFT.

Results
The density of states at the Fermi level is 3.84 states/eV/cell. The electronic total energy is -4.724 eV per atom. The energy above the lowest structure with this stoichiometry comes out at 71 meV/atom. The value obtained for the total moment is 0.11 μB per atom.

Cell lengths 3.457, 3.501, 8.190 Å; angles 89.67, 90.00, 90.00 degrees
Element x y z (fractional)
Mo (0.500, 0.750, 0.750)
Pb (0.000, 0.253, 0.548)
Pb (0.000, 0.247, 0.952)
Cl (0.500, 0.250, 0.250)

***

Computed, not measured: an optimized crystal structure of MgZnRe3 at the PBE level of DFT.

Results
The density of states at the Fermi level is 6.45 states/eV/cell. The electronic total energy is -6.121 eV per atom. The energy above the lowest structure with this stoichiometry comes out at 0 meV/atom. The value obtained for the total moment is 0.00 μB per atom. The formation energy is 1.921 eV/atom.

Cell lengths 4.532, 4.532, 4.532 Å; angles 90.00, 90.00, 90.00 degrees
Element x y z (fractional)
Mg (0.500, 0.500, 0.500)
Re (0.000, 0.000, 0.500)
Re (0.500, 0.000, 0.000)
Re (0.000, 0.500, 0.000)
Zn (0.000, 0.000, 0.000)

***

Computed, not measured: an optimized crystal structure of Ba2ZnSn3Pd4 at the PBE level of DFT.

Results
The density of states at the Fermi level is 4.72 states/eV/cell. The electronic total energy is -4.459 eV per atom. The value obtained for the total moment is 0.00 μB per atom. The formation energy is -0.669 eV/atom.

Cell lengths 4.797, 4.797, 10.566 Å; angles 90.00, 90.00, 90.00 degrees
Element x y z (fractional)
Pd (0.500, 0.500, 0.000)
Pd (0.000, 0.000, 0.000)
Pd (0.000, 0.500, 0.380)
Pd (0.500, 0.000, 0.620)
Zn (0.500, 0.500, 0.500)
Sn (0.000, 0.500, 0.121)
Sn (0.000, 0.000, 0.500)
Sn (0.500, 0.000, 0.879)
Ba (0.000, 0.500, 0.749)
Ba (0.500, 0.000, 0.251)

***

Computed, not measured: an optimized crystal structure of Nd4Ag3Au5 at the PBE level of DFT.

Results
The density of states at the Fermi level is 8.38 states/eV/cell. The electronic total energy is -3.991 eV per atom. The value obtained for the total moment is 0.00 μB per atom. The formation energy is -0.324 eV/atom.

Cell lengths 5.223, 10.550, 6.559 Å; angles 65.90, 66.53, 75.67 degrees
Element x y z (fractional)
Ag (0.398, 0.782, 0.423)
Ag (0.602, 0.218, 0.577)
Ag (0.000, 0.500, 0.500)
Nd (0.177, 0.659, 0.986)
Nd (0.139, 0.047, 0.676)
Nd (0.823, 0.341, 0.014)
Nd (0.861, 0.953, 0.324)
Au (0.601, 0.894, 0.904)
Au (0.399, 0.106, 0.096)
Au (0.792, 0.673, 0.742)
Au (0.500, 0.500, 0.500)
Au (0.208, 0.327, 0.258)

***

Computed, not measured: an optimized crystal structure of PmMg2CdPd4 at the PBE level of DFT.

Results
The density of states at the Fermi level is 3.15 states/eV/cell. The electronic total energy is -4.339 eV per atom. The value obtained for the total moment is 0.00 μB per atom. The formation energy is -0.636 eV/atom.

Cell lengths 4.648, 4.648, 8.411 Å; angles 73.96, 73.96, 60.00 degrees
Element x y z (fractional)
Mg (0.241, 0.241, 0.276)
Mg (0.759, 0.759, 0.724)
Pd (0.614, 0.614, 0.157)
Pd (0.386, 0.386, 0.843)
Pd (0.123, 0.123, 0.631)
Pd (0.877, 0.877, 0.369)
Cd (0.500, 0.500, 0.500)
Pm (0.000, 0.000, 0.000)

***

Computed, not measured: an optimized crystal structure of ZrGaPd at the PBE level of DFT.

Results
The density of states at the Fermi level is 2.22 states/eV/cell. The electronic total energy is -6.213 eV per atom. The value obtained for the total moment is 0.00 μB per atom. The formation energy is -0.624 eV/atom.

Cell lengths 3.180, 3.180, 5.640 Å; angles 106.38, 106.38, 90.00 degrees
Element x y z (fractional)
Ga (0.935, 0.935, 0.871)
Zr (0.615, 0.615, 0.230)
Pd (0.299, 0.299, 0.599)